[1]
The following is a DFT calculation (PBE-GGA) of a relaxed structure of RbSr2LiHg.

Computed properties:
Energy of formation from the pure elements, meV per atom: -69

Cell: 6.487 6.487 5.579 Å, 90.00 90.00 90.00°
Fractional positions:
Sr (0.000, 0.500, 0.000)
Sr (0.500, 0.000, 0.000)
Hg (0.000, 0.000, 0.000)
Rb (0.500, 0.500, 0.500)
Li (0.000, 0.000, 0.500)

[2]
The following is a DFT calculation (PBE-GGA) of a relaxed structure of Ho4CoNi.

Computed properties:
Energy of formation from the pure elements, meV per atom: -156

Cell: 7.487 7.487 7.487 Å, 105.87 105.87 116.94°
Fractional positions:
Ho (0.255, 0.955, 0.700)
Ho (0.745, 0.448, 0.703)
Ho (0.705, 0.505, 0.200)
Ho (0.198, 0.995, 0.203)
Ho (0.305, 0.505, 0.800)
Ho (0.792, 0.995, 0.797)
Ho (0.745, 0.042, 0.297)
Ho (0.255, 0.555, 0.300)
Co (0.751, 0.751, 0.000)
Co (0.501, 0.001, 0.500)
Ni (0.249, 0.249, 0.000)
Ni (0.999, 0.499, 0.500)

[3]
The following is a DFT calculation (PBE-GGA) of a relaxed structure of NiP2RhS.

Computed properties:
Raw formation energy, eV/atom: -0.26
Excess energy over the best structure of this formula in the dataset, meV per atom: 97

Cell: 3.511 3.854 6.365 Å, 82.72 90.02 62.91°
Fractional positions:
Ni (0.540, 0.239, 0.491)
P (0.844, 0.630, 0.386)
P (0.545, 0.227, 0.140)
Rh (0.855, 0.608, 0.995)
S (0.104, 0.111, 0.752)

[4]
The following is a DFT calculation (PBE-GGA) of a relaxed structure of LiNbIN2.

Computed properties:
Raw formation energy, eV/atom: 1.71
Excess energy over the best structure of this formula in the dataset, meV per atom: 1747

Cell: 3.968 3.968 4.608 Å, 90.00 90.00 90.00°
Fractional positions:
I (0.000, 0.000, 0.500)
Nb (0.500, 0.500, 0.500)
Li (0.000, 0.000, 0.000)
N (0.000, 0.500, 0.000)
N (0.500, 0.000, 0.000)